No. 1
The following is a DFT calculation (GGA-PBE) of crystalline Hf2ZrIr at its relaxed geometry.

abc: 4.7712 4.7712 4.7712
angles: 60.00 60.00 60.00
Last column: nearest neighbours and their distance in Å.
Fractional coordinates of all 4 atoms:
Hf1 0.0000 0.0000 0.0000  4 Hf 2.92, 4 Ir 2.92
Hf2 0.7500 0.7500 0.7500  4 Hf 2.92, 4 Zr 2.92
Ir1 0.2500 0.2500 0.2500  4 Zr 2.92, 4 Hf 2.92
Zr1 0.5000 0.5000 0.5000  4 Hf 2.92, 4 Ir 2.92

Properties
ΔE_f, kcal/mol of atoms: -7.0


No. 2
The following is a DFT calculation (GGA-PBE) of crystalline HfZrIr2 at its relaxed geometry.

abc: 4.4780 5.3654 5.3654
angles: 34.41 90.00 90.00
Last column: nearest neighbours and their distance in Å.
Fractional coordinates of all 4 atoms:
Hf1 0.0000 0.1438 0.1438  7 Ir 2.72-2.88
Ir1 0.0000 0.4096 0.4096  3 Hf 2.72-2.88, 4 Zr 2.80, 2 Ir 2.92
Ir2 0.5000 0.5917 0.5917  3 Zr 2.70-2.90, 4 Hf 2.80, 2 Ir 2.92
Zr1 0.5000 0.8549 0.8549  7 Ir 2.70-2.90

Properties
ΔE_f, kcal/mol of atoms: -20.4


No. 3
The following is a DFT calculation (GGA-PBE) of crystalline HfZrIr2 at its relaxed geometry.

abc: 4.6081 4.6081 4.6081
angles: 60.00 60.00 60.00
Last column: nearest neighbours and their distance in Å.
Fractional coordinates of all 4 atoms:
Hf1 0.5000 0.5000 0.5000  4 Zr 2.82, 4 Ir 2.82
Ir1 0.0000 0.0000 0.0000  4 Zr 2.82, 4 Ir 2.82
Ir2 0.2500 0.2500 0.2500  4 Hf 2.82, 4 Ir 2.82
Zr1 0.7500 0.7500 0.7500  4 Ir 2.82, 4 Hf 2.82

Properties
ΔE_f, kcal/mol of atoms: -10.1


No. 4
The following is a DFT calculation (GGA-PBE) of crystalline HfZrIr2 at its relaxed geometry.

abc: 10.0159 10.0159 4.4029
angles: 90.00 90.00 160.64
Last column: nearest neighbours and their distance in Å.
Fractional coordinates of all 8 atoms:
Hf1 0.0602 0.9398 0.2500  8 Ir 2.70-2.85
Hf2 0.9398 0.0602 0.7500  8 Ir 2.70-2.85
Ir1 0.6672 0.3328 0.2500  2 Hf 2.70, 5 Zr 2.73-2.82
Ir2 0.4438 0.5562 0.2500  6 Hf 2.77-2.85
Ir3 0.5562 0.4438 0.7500  6 Hf 2.77-2.85
Ir4 0.3328 0.6672 0.7500  2 Hf 2.70, 5 Zr 2.73-2.82
Zr1 0.8055 0.1945 0.2500  5 Ir 2.73-2.82
Zr2 0.1945 0.8055 0.7500  5 Ir 2.73-2.82

Properties
ΔE_f, kcal/mol of atoms: -21.8


No. 5
The following is a DFT calculation (GGA-PBE) of crystalline KHf2 at its relaxed geometry.

abc: 6.8068 6.8068 9.4511
angles: 108.16 108.16 27.54
Last column: nearest neighbours and their distance in Å.
Fractional coordinates of all 6 atoms:
Hf1 0.4720 0.4720 0.3302  7 Hf 2.97-3.24
Hf2 0.8469 0.8469 0.4804  8 Hf 2.97-3.24
Hf3 0.1531 0.1531 0.5196  8 Hf 2.97-3.24
Hf4 0.5280 0.5280 0.6698  7 Hf 2.97-3.24
K1 0.1591 0.1591 0.1231  2 K 3.24
K2 0.8409 0.8409 0.8769  2 K 3.24

Properties
Final energy, eV/f.u.: -19.27


No. 6
The following is a DFT calculation (GGA-PBE) of crystalline KHf2 at its relaxed geometry.

abc: 6.3148 6.3148 6.3148
angles: 60.00 60.00 60.00
Last column: nearest neighbours and their distance in Å.
Fractional coordinates of all 6 atoms:
Hf1 0.6250 0.6250 0.1250  6 Hf 3.16
Hf2 0.6250 0.1250 0.6250  6 Hf 3.16
Hf3 0.1250 0.6250 0.6250  6 Hf 3.16
Hf4 0.6250 0.6250 0.6250  6 Hf 3.16
K1 0.0000 0.0000 0.0000  12 Hf 3.70, 4 K 3.87
K2 0.2500 0.2500 0.2500  12 Hf 3.70, 4 K 3.87

Properties
Final energy, eV/f.u.: -17.68


No. 7
The following is a DFT calculation (GGA-PBE) of crystalline KLaHf at its relaxed geometry.

abc: 5.5621 5.5621 5.5621
angles: 60.00 60.00 60.00
Last column: nearest neighbours and their distance in Å.
Fractional coordinates of all 3 atoms:
Hf1 0.2500 0.2500 0.2500  4 La 3.41
K1 0.7500 0.7500 0.7500  4 La 3.41
La1 0.0000 0.0000 0.0000  4 K 3.41, 4 Hf 3.41

Properties
Polymorph energy (0 for the lowest one), meV/atom: 0


No. 8
The following is a DFT calculation (GGA-PBE) of crystalline KLaHfS4 at its relaxed geometry.

abc: 7.2097 6.8908 8.7755
angles: 90.00 109.84 90.00
Last column: nearest neighbours and their distance in Å.
Fractional coordinates of all 14 atoms:
Hf1 0.2283 0.9945 0.1656  4 S 2.35-2.48
Hf2 0.7717 0.4945 0.8344  4 S 2.35-2.48
K1 0.2280 0.4953 0.4371  7 S 3.25-3.64
K2 0.7720 0.9953 0.5629  7 S 3.25-3.64
La1 0.7022 0.9865 0.0579  7 S 2.86-3.05
La2 0.2978 0.4865 0.9421  7 S 2.86-3.05
S1 0.9932 0.6621 0.0734  1 Hf 2.45
S2 0.4881 0.7444 0.2042  1 Hf 2.48
S3 0.4870 0.2374 0.2170  1 Hf 2.43
S4 0.0642 0.0407 0.3528  1 Hf 2.35
S5 0.9358 0.5407 0.6472  1 Hf 2.35
S6 0.5130 0.7374 0.7830  1 Hf 2.43
S7 0.5119 0.2444 0.7958  1 Hf 2.48
S8 0.0068 0.1621 0.9266  1 Hf 2.45

Properties
Final energy, eV/f.u.: -44.56


No. 9
The following is a DFT calculation (GGA-PBE) of crystalline KLaHfSe4 at its relaxed geometry.

abc: 7.4236 7.2115 9.1343
angles: 90.00 109.41 90.00
Last column: nearest neighbours and their distance in Å.
Fractional coordinates of all 14 atoms:
Hf1 0.2702 0.4985 0.3350  4 Se 2.47-2.62
Hf2 0.7298 0.9985 0.6650  4 Se 2.47-2.62
K1 0.2577 0.9906 0.0602  7 Se 3.41-3.73
K2 0.7423 0.4906 0.9398  7 Se 3.41-3.73
La1 0.7965 0.4911 0.4439  7 Se 2.99-3.17
La2 0.2035 0.9911 0.5561  7 Se 2.99-3.17
Se1 0.4371 0.5474 0.1448  1 Hf 2.47
Se2 0.0067 0.7444 0.2784  1 Hf 2.56
Se3 0.0048 0.2453 0.2902  1 Hf 2.62
Se4 0.5082 0.1593 0.4185  1 Hf 2.58
Se5 0.4918 0.6593 0.5815  1 Hf 2.58
Se6 0.9952 0.7453 0.7098  1 Hf 2.62
Se7 0.9933 0.2444 0.7216  1 Hf 2.56
Se8 0.5629 0.0474 0.8552  1 Hf 2.47

Properties
Final energy, eV/f.u.: -40.84


No. 10
The following is a DFT calculation (GGA-PBE) of crystalline KLiHfSe3 at its relaxed geometry.

abc: 14.7525 3.9557 10.6244
angles: 90.00 90.00 90.00
Last column: nearest neighbours and their distance in Å.
Fractional coordinates of all 24 atoms:
Hf1 0.9872 0.2500 0.1668  6 Se 2.59-2.76
Hf2 0.4872 0.2500 0.3332  6 Se 2.59-2.76
Hf3 0.5128 0.7500 0.6668  6 Se 2.59-2.76
Hf4 0.0128 0.7500 0.8332  6 Se 2.59-2.76
K1 0.2715 0.2500 0.0311  7 Se 3.31-3.54
K2 0.7715 0.2500 0.4689  7 Se 3.31-3.54
K3 0.2285 0.7500 0.5311  7 Se 3.31-3.54
K4 0.7285 0.7500 0.9689  7 Se 3.31-3.54
Li1 0.4862 0.7500 0.0904  4 Se 2.49-2.57, 2 Li 2.79
Li2 0.9862 0.7500 0.4096  4 Se 2.49-2.57, 2 Li 2.79
Li3 0.0138 0.2500 0.5904  4 Se 2.49-2.57, 2 Li 2.79
Li4 0.5138 0.2500 0.9096  4 Se 2.49-2.57, 2 Li 2.79
Se1 0.0934 0.7500 0.0675  3 Hf 2.73-2.76
Se2 0.5850 0.2500 0.1304  3 Li 2.49-2.57, 1 Hf 2.59
Se3 0.8725 0.7500 0.2349  1 Li 2.50, 2 Hf 2.70
Se4 0.3725 0.7500 0.2651  1 Li 2.50, 2 Hf 2.70
Se5 0.0850 0.2500 0.3696  3 Li 2.49-2.57, 1 Hf 2.59
Se6 0.5934 0.7500 0.4325  3 Hf 2.73-2.76
Se7 0.4066 0.2500 0.5675  3 Hf 2.73-2.76
Se8 0.9150 0.7500 0.6304  3 Li 2.49-2.57, 1 Hf 2.59
Se9 0.6275 0.2500 0.7349  1 Li 2.50, 2 Hf 2.70
Se10 0.1275 0.2500 0.7651  1 Li 2.50, 2 Hf 2.70
Se11 0.4150 0.7500 0.8696  3 Li 2.49-2.57, 1 Hf 2.59
Se12 0.9066 0.2500 0.9325  3 Hf 2.73-2.76

Properties
Polymorph energy (0 for the lowest one), meV/atom: 0


No. 11
The following is a DFT calculation (GGA-PBE) of crystalline KLiHfSe3 at its relaxed geometry.

abc: 7.5786 7.5786 10.3654
angles: 90.00 90.00 149.97
Last column: nearest neighbours and their distance in Å.
Fractional coordinates of all 12 atoms:
Hf1 0.5000 0.5000 0.0000  6 Se 2.70-2.73
Hf2 0.5000 0.5000 0.5000  6 Se 2.70-2.73
K1 0.2415 0.7585 0.2500  8 Se 3.31-3.52
K2 0.7585 0.2415 0.7500  8 Se 3.31-3.52
Li1 0.9607 0.0393 0.2500  4 Se 2.44-2.45
Li2 0.0393 0.9607 0.7500  4 Se 2.44-2.45
Se1 0.8770 0.1230 0.0454  1 Li 2.45, 2 Hf 2.70
Se2 0.5593 0.4407 0.2500  2 Li 2.44
Se3 0.8770 0.1230 0.4546  1 Li 2.45, 2 Hf 2.70
Se4 0.1230 0.8770 0.5454  1 Li 2.45, 2 Hf 2.70
Se5 0.4407 0.5593 0.7500  2 Li 2.44
Se6 0.1230 0.8770 0.9546  1 Li 2.45, 2 Hf 2.70

Properties
Polymorph energy (0 for the lowest one), meV/atom: 10